A relaxed structure of BeCo2CuPd. Source: Alexandria via LeMat-Bulk, functional PBE.

Calculated values
Size of the total moment = 4.3 μB per formula unit
E = -3.880 eV/atom

abc: 4.542 4.542 4.620
angles: 90.00 90.00 90.00
Space group P4/mmm (No. 123)
Inequivalent atoms, fractional coordinates:
Be  0.000  0.000  0.000 (multiplicity 1)
Co  0.000  0.500  0.500 (multiplicity 2)
Cu  0.500  0.500  0.000 (multiplicity 1)
Pd  0.500  0.500  0.500 (multiplicity 1)